Compound: LaBN2O
Source: Alexandria via LeMat-Bulk
Functional: GGA-PBE
Structure: relaxed

The structure in POSCAR format:
```
LaBN2O
1.0
-1.3674 -2.1959 2.1044
0.8568 -2.4919 -2.0436
4.1383 -0.4216 2.2490
B N O La
1 2 1 1
direct
0.0000 0.0000 0.0000 B
0.0000 0.5000 0.0000 N
0.5000 0.0000 0.0000 N
0.0000 0.0000 0.5000 O
0.5000 0.5000 0.5000 La
```

Computed properties:
Calculated volume ... 10.517 A^3/atom
Uncorrected formation energy ... -0.644 eV/atom
Density ... 6.12 Mg/m³